Record 1
First-principles (PBE) data for FeRu2Au after structural relaxation, as listed in Alexandria.

Unit cell a=4.361 b=4.361 c=4.361 alpha=60.00 beta=60.00 gamma=60.00
Each line ends with the local moment (μB).
Sites, in units of the cell vectors:
Ru 0.250 0.250 0.250  0.03
Ru 0.750 0.750 0.750  0.03
Au 0.500 0.500 0.500  -0.04
Fe 0.000 0.000 0.000  2.81

Summary:
Its space group is Fm-3m, No. 225. The crystal system is cubic. The value obtained for the energy of formation from the pure elements is 462.7 meV per atom. The distance to the lowest polymorph of the same formula is 262 meV per atom. The uncorrected energy comes out at -0.5226 Ry per atom.



Record 2
First-principles (PBE) data for CuReW3 after structural relaxation, as listed in Alexandria.

Unit cell a=4.747 b=4.747 c=4.747 alpha=90.00 beta=90.00 gamma=90.00
Sites, in units of the cell vectors:
Re 0.000 0.000 0.000
Cu 0.500 0.500 0.500
W 0.000 0.500 0.000
W 0.000 0.000 0.500
W 0.500 0.000 0.000

Summary:
Its space group is Pm-3m, No. 221. The crystal system is cubic. The value obtained for the energy of formation from the pure elements is 2188.0 meV per atom. The distance to the lowest polymorph of the same formula is 223 meV per atom. The uncorrected energy comes out at -0.6536 Ry per atom.



Record 3
First-principles (PBE) data for PaCoTe2 after structural relaxation, as listed in Alexandria.

Unit cell a=4.364 b=4.364 c=7.768 alpha=73.69 beta=73.69 gamma=60.00
Sites, in units of the cell vectors:
Pa 0.408 0.408 0.775
Co 0.036 0.036 0.891
Te 0.155 0.155 0.535
Te 0.651 0.651 0.046

Summary:
Its space group is R3m, No. 160. Its energy relative to the elements, uncorrected is -2.566 eV per formula unit. The crystal system is trigonal. The distance to the lowest polymorph of the same formula is 0 meV per atom. The uncorrected energy comes out at -0.4677 Ry per atom.



Record 4
First-principles (PBE) data for NbOs3 after structural relaxation, as listed in Alexandria.

Unit cell a=3.920 b=3.920 c=4.835 alpha=113.92 beta=113.92 gamma=90.00
Sites, in units of the cell vectors:
Nb 0.000 0.000 0.000
Os 0.750 0.250 0.500
Os 0.250 0.750 0.500
Os 0.500 0.500 0.000

Summary:
Its space group is I4/mmm, No. 139. The crystal system is tetragonal. The value obtained for the energy of formation from the pure elements is -17.8 meV per atom. The uncorrected energy comes out at -0.8054 Ry per atom.



Record 5
First-principles (PBE) data for Mg6CuAu10 after structural relaxation, as listed in Alexandria.

Unit cell a=5.510 b=8.048 c=8.048 alpha=120.00 beta=90.00 gamma=90.00
Sites, in units of the cell vectors:
Mg 0.715 0.373 0.373
Mg 0.715 0.000 0.627
Mg 0.715 0.627 0.000
Mg 0.285 0.627 0.627
Mg 0.285 0.000 0.373
Mg 0.285 0.373 0.000
Cu 0.500 0.000 0.000
Au 0.798 0.727 0.727
Au 0.798 0.000 0.273
Au 0.798 0.273 0.000
Au 0.202 0.273 0.273
Au 0.202 0.000 0.727
Au 0.202 0.727 0.000
Au 0.500 0.333 0.667
Au 0.500 0.667 0.333
Au 0.000 0.667 0.333
Au 0.000 0.333 0.667

Summary:
Its space group is P-31m, No. 162. The crystal system is trigonal. The value obtained for the energy of formation from the pure elements is -407.1 meV per atom. The uncorrected energy comes out at -0.2307 Ry per atom.



Record 6
First-principles (PBE) data for ZrRe2Se after structural relaxation, as listed in Alexandria.

Unit cell a=4.504 b=4.504 c=3.286 alpha=90.00 beta=90.00 gamma=90.00
Sites, in units of the cell vectors:
Re 0.000 0.000 0.000
Re 0.500 0.500 0.000
Se 0.500 0.000 0.500
Zr 0.000 0.500 0.500

Summary:
Its space group is P4/mmm, No. 123. Its energy relative to the elements, uncorrected is 1.434 eV per formula unit. The crystal system is tetragonal. The uncorrected energy comes out at -0.6522 Ry per atom.



Record 7
First-principles (PBE) data for TmMg4Sc after structural relaxation, as listed in Alexandria.

Unit cell a=5.912 b=5.912 c=5.912 alpha=60.00 beta=60.00 gamma=60.00
Sites, in units of the cell vectors:
Sc 0.000 0.000 0.000
Mg 0.625 0.625 0.124
Mg 0.625 0.124 0.625
Mg 0.625 0.625 0.625
Mg 0.124 0.625 0.625
Tm 0.250 0.250 0.250

Summary:
Its space group is F-43m, No. 216. The crystal system is cubic. The value obtained for the energy of formation from the pure elements is -13.1 meV per atom. The distance to the lowest polymorph of the same formula is 17 meV per atom. The uncorrected energy comes out at -0.2114 Ry per atom.



Record 8
First-principles (PBE) data for AcAg3Bi3 after structural relaxation, as listed in Alexandria.

Unit cell a=7.805 b=7.805 c=7.805 alpha=90.00 beta=90.00 gamma=90.00
Sites, in units of the cell vectors:
Ac 0.500 0.500 0.500
Ac 0.000 0.000 0.000
Bi 0.250 0.000 0.500
Bi 0.000 0.500 0.250
Bi 0.500 0.750 0.000
Bi 0.750 0.000 0.500
Bi 0.000 0.500 0.750
Bi 0.500 0.250 0.000
Ag 0.000 0.250 0.500
Ag 0.000 0.750 0.500
Ag 0.500 0.000 0.750
Ag 0.750 0.500 0.000
Ag 0.500 0.000 0.250
Ag 0.250 0.500 0.000

Summary:
Its space group is Pm-3n, No. 223. The crystal system is cubic. The value obtained for the energy of formation from the pure elements is 168.1 meV per atom. The uncorrected energy comes out at -0.2428 Ry per atom.



Copy entry 5 word for word.
First-principles (PBE) data for Mg6CuAu10 after structural relaxation, as listed in Alexandria.

Unit cell a=5.510 b=8.048 c=8.048 alpha=120.00 beta=90.00 gamma=90.00
Sites, in units of the cell vectors:
Mg 0.715 0.373 0.373
Mg 0.715 0.000 0.627
Mg 0.715 0.627 0.000
Mg 0.285 0.627 0.627
Mg 0.285 0.000 0.373
Mg 0.285 0.373 0.000
Cu 0.500 0.000 0.000
Au 0.798 0.727 0.727
Au 0.798 0.000 0.273
Au 0.798 0.273 0.000
Au 0.202 0.273 0.273
Au 0.202 0.000 0.727
Au 0.202 0.727 0.000
Au 0.500 0.333 0.667
Au 0.500 0.667 0.333
Au 0.000 0.667 0.333
Au 0.000 0.333 0.667

Summary:
Its space group is P-31m, No. 162. The crystal system is trigonal. The value obtained for the energy of formation from the pure elements is -407.1 meV per atom. The uncorrected energy comes out at -0.2307 Ry per atom.